Model P:
Material: Fe2PbS
Method: DFT, GGA-PBE
State: relaxed

The structure in POSCAR format:
```
Fe2PbS
1.0
0.000 3.094 3.094
3.094 0.000 3.094
3.094 3.094 0.000
Fe Pb S
2 1 1
direct
0.250 0.250 0.250
0.750 0.750 0.750
0.000 0.000 0.000
0.500 0.500 0.500
```

Its crystal system is cubic. For the total magnetization, the calculation gives 0.00 μB per formula unit. For the calculated volume, the calculation gives 14.81 Å³/atom.

Model Q:
Material: Fe2PbS
Method: DFT, GGA-PBE
State: relaxed

The structure in POSCAR format:
```
Fe2PbS
1.0
-2.860 2.860 4.653
2.860 -2.860 4.653
2.860 2.860 -4.653
Fe Pb S
4 2 2
direct
0.045 0.625 0.920
0.375 0.295 0.420
0.705 0.125 0.080
0.875 0.955 0.580
0.250 0.750 0.500
0.500 0.500 0.000
0.000 0.000 0.000
0.750 0.250 0.500
```

Its crystal system is tetragonal. For the total magnetization, the calculation gives 0.00 μB per formula unit. For the calculated volume, the calculation gives 19.03 Å³/atom.

Stability, highest: model Q

Model P:
Material: Fe3PbS
Method: DFT, GGA-PBE
State: relaxed

The structure in POSCAR format:
```
Fe3PbS
1.0
5.004 0.000 0.000
0.000 5.004 0.000
0.000 0.000 5.004
Fe Pb S
3 1 1
direct
0.000 0.000 0.500
0.000 0.500 0.000
0.500 0.000 0.000
0.000 0.000 0.000
0.500 0.500 0.500
```

Its crystal system is cubic. For the total magnetization, the calculation gives 10.78 μB per formula unit. For the calculated volume, the calculation gives 25.06 Å³/atom.

Model Q:
Material: Fe3PbS
Method: DFT, GGA-PBE
State: relaxed

The structure in POSCAR format:
```
Fe3PbS
1.0
4.283 0.000 0.000
0.000 4.283 0.000
0.000 0.000 4.283
Fe Pb S
3 1 1
direct
0.000 0.000 0.500
0.000 0.500 0.000
0.500 0.000 0.000
0.500 0.500 0.500
0.000 0.000 0.000
```

Its crystal system is cubic. For the total magnetization, the calculation gives 6.09 μB per formula unit. For the calculated volume, the calculation gives 15.72 Å³/atom.

Stability, highest: model Q

Model P:
Material: FeSb2TePb
Method: DFT, GGA-PBE
State: relaxed

The structure in POSCAR format:
```
FeSb2TePb
1.0
4.765 0.000 0.000
0.000 4.765 0.000
0.000 0.000 5.532
Fe Sb Te Pb
1 2 1 1
direct
0.000 0.000 0.000
0.000 0.500 0.000
0.500 0.000 0.000
0.000 0.000 0.500
0.500 0.500 0.500
```

Its crystal system is tetragonal. For the total magnetization, the calculation gives 0.01 μB per formula unit. For the calculated volume, the calculation gives 25.12 Å³/atom.

Model Q:
Material: FeSb2TePb
Method: DFT, GGA-PBE
State: relaxed

The structure in POSCAR format:
```
FeSb2TePb
1.0
5.781 0.000 0.000
0.000 5.781 0.000
0.000 0.000 5.763
Fe Sb Te Pb
1 2 1 1
direct
0.000 0.000 0.000
0.000 0.500 0.500
0.500 0.000 0.500
0.500 0.500 0.000
0.500 0.500 0.500
```

Its crystal system is tetragonal. For the total magnetization, the calculation gives 3.07 μB per formula unit. For the calculated volume, the calculation gives 38.52 Å³/atom.

Stability, highest: model P

Model P:
Material: ScFePb2
Method: DFT, GGA-PBE
State: relaxed

The structure in POSCAR format:
```
ScFePb2
1.0
-3.900 3.900 3.121
3.900 -3.900 3.121
3.900 3.900 -3.121
Sc Fe Pb
2 2 4
direct
0.000 0.000 0.000
0.750 0.250 0.500
0.250 0.750 0.500
0.500 0.500 0.000
0.160 0.625 0.035
0.375 0.410 0.535
0.590 0.125 0.965
0.875 0.840 0.465
```

Its crystal system is tetragonal. For the total magnetization, the calculation gives 2.67 μB per formula unit. For the calculated volume, the calculation gives 23.74 Å³/atom.

Model Q:
Material: ScFePb2
Method: DFT, GGA-PBE
State: relaxed

The structure in POSCAR format:
```
ScFePb2
1.0
3.487 0.000 0.000
0.000 4.606 0.000
-1.463 0.000 5.742
Sc Fe Pb
1 1 2
direct
0.000 0.000 0.000
0.321 0.500 0.249
0.435 0.500 0.796
0.770 0.000 0.451
```

Its crystal system is monoclinic. For the total magnetization, the calculation gives 2.12 μB per formula unit. For the calculated volume, the calculation gives 23.06 Å³/atom.

Model R:
Material: ScFePb2
Method: DFT, GGA-PBE
State: relaxed

The structure in POSCAR format:
```
ScFePb2
1.0
3.382 0.000 0.000
0.000 3.382 0.000
0.000 0.000 8.228
Sc Fe Pb
1 1 2
direct
0.000 0.000 0.000
0.500 0.500 0.163
0.000 0.000 0.378
0.500 0.500 0.735
```

Its crystal system is tetragonal. For the total magnetization, the calculation gives 1.58 μB per formula unit. For the calculated volume, the calculation gives 23.52 Å³/atom.

Model S:
Material: ScFePb2
Method: DFT, GGA-PBE
State: relaxed

The structure in POSCAR format:
```
ScFePb2
1.0
3.387 0.000 0.000
0.000 4.437 0.000
-1.035 0.000 6.043
Sc Fe Pb
1 1 2
direct
0.000 0.000 0.000
0.500 0.000 0.500
0.326 0.500 0.738
0.674 0.500 0.262
```

Its crystal system is monoclinic. For the total magnetization, the calculation gives 2.26 μB per formula unit. For the calculated volume, the calculation gives 22.70 Å³/atom.

Stability, highest: model R

Model P:
Material: ScFePb2
Method: DFT, GGA-PBE
State: relaxed

The structure in POSCAR format:
```
ScFePb2
1.0
0.000 3.524 3.524
3.524 0.000 3.524
3.524 3.524 0.000
Sc Fe Pb
1 1 2
direct
0.000 0.000 0.000
0.500 0.500 0.500
0.250 0.250 0.250
0.750 0.750 0.750
```

Its crystal system is cubic. For the total magnetization, the calculation gives 1.80 μB per formula unit. For the calculated volume, the calculation gives 21.87 Å³/atom.

Model Q:
Material: ScFePb2
Method: DFT, GGA-PBE
State: relaxed

The structure in POSCAR format:
```
ScFePb2
1.0
-2.120 2.120 4.957
2.120 -2.120 4.957
2.120 2.120 -4.957
Sc Fe Pb
1 1 2
direct
0.000 0.000 0.000
0.250 0.750 0.500
0.500 0.500 0.000
0.750 0.250 0.500
```

Its crystal system is tetragonal. For the total magnetization, the calculation gives 2.72 μB per formula unit. For the calculated volume, the calculation gives 22.29 Å³/atom.

Stability, highest: model Q

Model P:
Material: ScFePb2
Method: DFT, GGA-PBE
State: relaxed

The structure in POSCAR format:
```
ScFePb2
1.0
4.016 -2.237 0.000
4.016 2.237 0.000
-2.495 0.000 4.937
Sc Fe Pb
1 1 2
direct
0.000 0.000 0.000
0.500 0.500 0.500
0.237 0.237 0.710
0.763 0.763 0.290
```

Its crystal system is monoclinic. For the total magnetization, the calculation gives 2.00 μB per formula unit. For the calculated volume, the calculation gives 22.17 Å³/atom.

Model Q:
Material: ScFePb2
Method: DFT, GGA-PBE
State: relaxed

The structure in POSCAR format:
```
ScFePb2
1.0
4.584 0.000 0.000
0.000 4.584 0.000
0.000 0.000 4.230
Sc Fe Pb
1 1 2
direct
0.000 0.000 0.000
0.500 0.500 0.000
0.000 0.500 0.500
0.500 0.000 0.500
```

Its crystal system is tetragonal. For the total magnetization, the calculation gives 2.81 μB per formula unit. For the calculated volume, the calculation gives 22.22 Å³/atom.

Model R:
Material: ScFePb2
Method: DFT, GGA-PBE
State: relaxed

The structure in POSCAR format:
```
ScFePb2
1.0
1.680 0.970 9.762
-1.680 0.970 9.762
0.000 -1.940 9.762
Sc Fe Pb
1 1 2
direct
0.000 0.000 0.000
0.271 0.271 0.271
0.536 0.536 0.536
0.761 0.761 0.761
```

Its crystal system is trigonal. For the total magnetization, the calculation gives 1.41 μB per formula unit. For the calculated volume, the calculation gives 23.86 Å³/atom.

Model S:
Material: ScFePb2
Method: DFT, GGA-PBE
State: relaxed

The structure in POSCAR format:
```
ScFePb2
1.0
-1.778 2.751 4.621
1.778 -2.751 4.621
1.778 2.751 -4.621
Sc Fe Pb
1 1 2
direct
0.000 0.000 0.000
0.500 0.500 0.000
0.275 0.775 0.500
0.725 0.225 0.500
```

Its crystal system is orthorhombic. For the total magnetization, the calculation gives 1.72 μB per formula unit. For the calculated volume, the calculation gives 22.61 Å³/atom.

Stability, highest: model Q

Model P:
Material: ScFePb2
Method: DFT, GGA-PBE
State: relaxed

The structure in POSCAR format:
```
ScFePb2
1.0
1.755 1.013 8.669
-1.755 1.013 8.669
0.000 -2.026 8.669
Sc Fe Pb
1 1 2
direct
0.000 0.000 0.000
0.500 0.500 0.500
0.241 0.241 0.241
0.759 0.759 0.759
```

Its crystal system is trigonal. For the total magnetization, the calculation gives 3.09 μB per formula unit. For the calculated volume, the calculation gives 23.11 Å³/atom.

Model Q:
Material: ScFePb2
Method: DFT, GGA-PBE
State: relaxed

The structure in POSCAR format:
```
ScFePb2
1.0
0.000 3.596 3.596
3.596 0.000 3.596
3.596 3.596 0.000
Sc Fe Pb
1 1 2
direct
0.000 0.000 0.000
0.750 0.750 0.750
0.250 0.250 0.250
0.500 0.500 0.500
```

Its crystal system is cubic. For the total magnetization, the calculation gives 1.68 μB per formula unit. For the calculated volume, the calculation gives 23.26 Å³/atom.

Model R:
Material: ScFePb2
Method: DFT, GGA-PBE
State: relaxed

The structure in POSCAR format:
```
ScFePb2
1.0
-1.697 2.433 5.519
1.697 -2.433 5.519
1.697 2.433 -5.519
Sc Fe Pb
1 1 2
direct
0.000 0.000 0.000
0.802 0.302 0.500
0.301 0.801 0.500
0.582 0.582 0.000
```

Its crystal system is orthorhombic. For the total magnetization, the calculation gives 2.23 μB per formula unit. For the calculated volume, the calculation gives 22.79 Å³/atom.

Model S:
Material: ScFePb2
Method: DFT, GGA-PBE
State: relaxed

The structure in POSCAR format:
```
ScFePb2
1.0
2.396 -2.409 0.000
2.396 2.409 0.000
0.000 0.000 7.505
Sc Fe Pb
1 1 2
direct
0.000 0.000 0.000
0.000 0.000 0.500
0.500 0.500 0.280
0.500 0.500 0.720
```

Its crystal system is orthorhombic. For the total magnetization, the calculation gives 2.41 μB per formula unit. For the calculated volume, the calculation gives 21.65 Å³/atom.

Stability, highest: model R

Model P:
Material: Sc2ZnFePb
Method: DFT, GGA-PBE
State: relaxed

The structure in POSCAR format:
```
Sc2ZnFePb
1.0
4.743 0.000 0.000
0.000 4.743 0.000
0.000 0.000 4.723
Sc Zn Fe Pb
2 1 1 1
direct
0.000 0.500 0.000
0.500 0.000 0.000
0.000 0.000 0.500
0.000 0.000 0.000
0.500 0.500 0.500
```

Its crystal system is tetragonal. For the total magnetization, the calculation gives 0.00 μB per formula unit. For the calculated volume, the calculation gives 21.25 Å³/atom.

Model Q:
Material: Sc2ZnFePb
Method: DFT, GGA-PBE
State: relaxed

The structure in POSCAR format:
```
Sc2ZnFePb
1.0
5.048 0.000 0.000
0.000 5.048 0.000
0.000 0.000 4.989
Sc Zn Fe Pb
2 1 1 1
direct
0.000 0.500 0.000
0.500 0.000 0.000
0.000 0.000 0.000
0.500 0.500 0.500
0.000 0.000 0.500
```

Its crystal system is tetragonal. For the total magnetization, the calculation gives 2.30 μB per formula unit. For the calculated volume, the calculation gives 25.43 Å³/atom.

Stability, highest: model P

Model P:
Material: Fe2PbSe
Method: DFT, GGA-PBE
State: relaxed

The structure in POSCAR format:
```
Fe2PbSe
1.0
2.271 -2.277 0.000
2.271 2.277 0.000
0.000 0.000 6.787
Fe Pb Se
2 1 1
direct
0.000 0.000 0.185
0.000 0.000 0.815
0.500 0.500 0.500
0.500 0.500 0.000
```

Its crystal system is orthorhombic. For the total magnetization, the calculation gives 4.97 μB per formula unit. For the calculated volume, the calculation gives 17.54 Å³/atom.

Model Q:
Material: Fe2PbSe
Method: DFT, GGA-PBE
State: relaxed

The structure in POSCAR format:
```
Fe2PbSe
1.0
1.858 1.073 6.280
-1.858 1.073 6.280
0.000 -2.145 6.280
Fe Pb Se
2 1 1
direct
0.226 0.226 0.226
0.774 0.774 0.774
0.000 0.000 0.000
0.500 0.500 0.500
```

Its crystal system is trigonal. For the total magnetization, the calculation gives 5.17 μB per formula unit. For the calculated volume, the calculation gives 18.77 Å³/atom.

Stability, highest: model Q

Model P:
Material: Fe3PbSe
Method: DFT, GGA-PBE
State: relaxed

The structure in POSCAR format:
```
Fe3PbSe
1.0
4.978 0.000 0.000
0.000 4.978 0.000
0.000 0.000 4.978
Fe Pb Se
3 1 1
direct
0.000 0.000 0.500
0.000 0.500 0.000
0.500 0.000 0.000
0.000 0.000 0.000
0.500 0.500 0.500
```

Its crystal system is cubic. For the total magnetization, the calculation gives 9.69 μB per formula unit. For the calculated volume, the calculation gives 24.67 Å³/atom.

Model Q:
Material: Fe3PbSe
Method: DFT, GGA-PBE
State: relaxed

The structure in POSCAR format:
```
Fe3PbSe
1.0
4.474 0.000 0.000
0.000 4.474 0.000
0.000 0.000 4.474
Fe Pb Se
3 1 1
direct
0.000 0.000 0.500
0.000 0.500 0.000
0.500 0.000 0.000
0.500 0.500 0.500
0.000 0.000 0.000
```

Its crystal system is cubic. For the total magnetization, the calculation gives 6.24 μB per formula unit. For the calculated volume, the calculation gives 17.91 Å³/atom.

Stability, highest: model Q

Model P:
Material: FeSi2Pb2
Method: DFT, GGA-PBE
State: relaxed

The structure in POSCAR format:
```
FeSi2Pb2
1.0
-2.188 2.188 6.550
2.188 -2.188 6.550
2.188 2.188 -6.550
Fe Si Pb
1 2 2
direct
0.000 0.000 0.000
0.414 0.414 0.000
0.586 0.586 0.000
0.250 0.750 0.500
0.750 0.250 0.500
```

Its crystal system is tetragonal. For the total magnetization, the calculation gives 3.20 μB per formula unit. For the calculated volume, the calculation gives 25.09 Å³/atom.

Model Q:
Material: FeSi2Pb2
Method: DFT, GGA-PBE
State: relaxed

The structure in POSCAR format:
```
FeSi2Pb2
1.0
6.361 0.000 0.000
0.000 6.361 0.000
0.000 0.000 5.092
Fe Si Pb
2 4 4
direct
0.000 0.000 0.000
0.500 0.500 0.000
0.140 0.360 0.000
0.360 0.860 0.000
0.640 0.140 0.000
0.860 0.640 0.000
0.183 0.683 0.500
0.317 0.183 0.500
0.683 0.817 0.500
0.817 0.317 0.500
```

Its crystal system is tetragonal. For the total magnetization, the calculation gives 1.56 μB per formula unit. For the calculated volume, the calculation gives 20.60 Å³/atom.

Stability, highest: model Q